The following is a PBE calculation of crystalline Tm4InAuO at its relaxed geometry, from Alexandria.

Cell lengths 8.2637, 8.2637, 6.5263 Å; angles 90.00, 90.00, 133.52 degrees
Fractional positions:
Tm1 0.0000 0.5000 0.0000
Tm2 0.0000 0.5000 0.5000
Tm3 0.0628 0.9372 0.7500
Tm4 0.4173 0.5827 0.7500
Tm5 0.5000 0.0000 0.0000
Tm6 0.5000 0.0000 0.5000
Tm7 0.5827 0.4173 0.2500
Tm8 0.9372 0.0628 0.2500
In1 0.3857 0.6143 0.2500
In2 0.6143 0.3857 0.7500
Au1 0.1221 0.8779 0.2500
Au2 0.8779 0.1221 0.7500
O1 0.2583 0.7417 0.7500
O2 0.7417 0.2583 0.2500

Calculated values
Its space-group type is Cmcm, No. 63. Its spin magnetization is 0.00 μB per formula unit. The raw formation energy is -8.4 eV/f.u.